<1>
{"formula": "CaRe", "functional": "PBE", "state": "optimized geometry", "lattice_angstrom": [[2.755, 0.000, 0.000], [0.000, 2.755, 0.000], [0.000, 0.000, 5.063]], "species": ["Re", "Ca"], "fractional_positions": [[0.500, 0.500, 0.500], [0.000, 0.000, 0.000]], "n_ef_per_ev_fu": 1.9, "vol_a3_per_atom": 19.2, "mass_density_g_cm3": 9.779, "spacegroup": "No. 123"}


<2>
{"formula": "CaRe", "functional": "PBE", "state": "optimized geometry", "lattice_angstrom": [[-1.015, 3.363, -0.100], [-2.316, -0.774, -2.528], [-2.441, -0.665, 2.440]], "species": ["Re", "Ca"], "fractional_positions": [[0.500, 0.500, 0.500], [0.000, 0.000, 0.000]], "n_ef_per_ev_fu": 1.9, "vol_a3_per_atom": 21.7, "mass_density_g_cm3": 8.655, "spacegroup": "No. 221"}


Relative to the most stable one, in kJ/mol of atoms, the structures come out at <1> 0.0; <2> 57.0.


<1>
{"formula": "Mn2AgCl", "functional": "PBE", "state": "optimized geometry", "lattice_angstrom": [[3.043, 0.407, 0.000], [-0.407, 3.043, 0.000], [0.000, 0.000, 8.002]], "species": ["Mn", "Mn", "Ag", "Cl"], "fractional_positions": [[0.000, 0.000, 0.003], [0.500, 0.500, 0.224], [0.000, 0.000, 0.444], [0.500, 0.500, 0.828]], "n_ef_per_ev_fu": 0.7, "vol_a3_per_atom": 18.9, "mass_density_g_cm3": 5.574, "spacegroup": "No. 99"}


<2>
{"formula": "Mn2AgCl", "functional": "PBE", "state": "optimized geometry", "lattice_angstrom": [[-1.663, 2.631, 6.294], [5.173, -3.736, 2.929], [3.763, 1.854, 4.136]], "species": ["Mn", "Mn", "Mn", "Mn", "Ag", "Ag", "Cl", "Cl"], "fractional_positions": [[0.606, 0.125, 0.250], [0.144, 0.625, 0.250], [0.375, 0.394, 0.750], [0.875, 0.856, 0.750], [0.000, 0.000, 0.000], [0.750, 0.250, 0.500], [0.500, 0.500, 0.000], [0.250, 0.750, 0.500]], "n_ef_per_ev_fu": 3.0, "vol_a3_per_atom": 19.5, "mass_density_g_cm3": 5.381, "spacegroup": "No. 122"}


Relative to the most stable one, in kJ/mol of atoms, the structures come out at <1> 0.0; <2> 29.2.